Entry 1:
Compound: CeMg4In15
Source: Alexandria
Functional: PBE
Structure: relaxed

The structure in CIF format:
```
data_CeMg4In15
_chemical_formula_sum 'Ce1 Mg4 In15'
_symmetry_space_group_name_H-M 'P 4/m m m'
_symmetry_Int_Tables_number 123
_symmetry_space_group_name_Hall '-P 4 2'
_cell_length_a 4.680
_cell_length_b 4.680
_cell_length_c 23.110
_cell_angle_alpha 90.00
_cell_angle_beta 90.00
_cell_angle_gamma 90.00
loop_
_atom_site_label
_atom_site_type_symbol
_atom_site_fract_x
_atom_site_fract_y
_atom_site_fract_z
Ce1 Ce 0.000 0.000 0.000
Mg1 Mg 0.000 0.000 0.201
Mg2 Mg 0.000 0.000 0.401
In1 In 0.000 0.500 0.105
In2 In 0.000 0.500 0.302
In3 In 0.000 0.500 0.500
In4 In 0.500 0.500 0.000
In5 In 0.500 0.500 0.205
In6 In 0.500 0.500 0.402
```

Summary:
Total energy   -2.77 eV per atom
Energy relative to the elements   -0.100 eV per atom

---

Entry 2:
Compound: LiBSe2
Source: Alexandria
Functional: PBE
Structure: relaxed

The structure in CIF format:
```
data_LiBSe2
_chemical_formula_sum 'Li4 B4 Se8'
_symmetry_space_group_name_H-M 'C 1 c 1'
_symmetry_Int_Tables_number 9
_symmetry_space_group_name_Hall 'C -2yc'
_cell_length_a 9.720
_cell_length_b 8.160
_cell_length_c 5.876
_cell_angle_alpha 90.00
_cell_angle_beta 126.98
_cell_angle_gamma 90.00
loop_
_atom_site_label
_atom_site_type_symbol
_atom_site_fract_x
_atom_site_fract_y
_atom_site_fract_z
Li1 Li 0.000 0.249 0.000
B1 B 0.250 0.111 0.860
Se1 Se 0.250 0.107 0.513
Se2 Se 0.250 0.329 0.977
```

Summary:
Total energy   -4.35 eV per atom

---

no.,M_tot (μB/f.u.)
1,0.9
2,0.0